No. 1
First-principles (GGA-PBEsol) data for a geometry-optimized LiLaN3 structure, as listed in Alexandria.

Fermi-level density of states: 0.80 states/eV/atom
Space-group type: Pm-3m, No. 221
Raw formation energy: 5.4 eV/f.u.
E: -5.4895 eV/atom
Total magnetization: 1.321 μB per formula unit
Crystal system: cubic

Structure (extended XYZ):
```
5
Lattice="4.392 0.000 0.000 0.000 4.392 0.000 0.000 0.000 4.392" Properties=species:S:1:pos:R:3 pbc="T T T"
N 0.000 2.196 0.000
N 0.000 0.000 2.196
N 2.196 0.000 0.000
La 0.000 0.000 0.000
Li 2.196 2.196 2.196
```

***

No. 2
First-principles (GGA-PBEsol) data for a geometry-optimized LiLaNO2 structure, as listed in Alexandria.

Fermi-level density of states: 0.68 states/eV/atom
Space-group type: P4/mmm, No. 123
Raw formation energy: -3.2 eV/f.u.
E: -5.9042 eV/atom
Total magnetization: 3.002 μB per formula unit
Crystal system: tetragonal

Structure (extended XYZ):
```
5
Lattice="-4.346 -0.462 -0.971 0.787 -4.121 -1.562 -0.803 -1.848 4.472" Properties=species:S:1:pos:R:3 pbc="T T T"
Li -2.181 -3.216 0.969
O 0.393 -2.061 -0.781
O -2.173 -0.231 -0.486
La 0.000 0.000 0.000
N -0.402 -0.924 2.236
```